MgB2S: relaxed, PBE.

Values from the calculation:
- energy above the most stable polymorph in this dataset (eV/atom) = 1.089
- ΔE_f (raw) (eV per atom) = 0.709

abc: 5.6918 5.6918 5.0790
angles: 55.92 55.92 90.00
Fractional coordinates of all 8 atoms:
B: 0.8750 0.9450 0.7500
B: 0.0550 0.6250 0.2500
B: 0.6950 0.1250 0.2500
Mg: 0.5000 0.5000 0.0000
S: 0.0000 0.0000 0.0000
B: 0.3750 0.3050 0.7500
S: 0.7500 0.2500 0.5000
Mg: 0.2500 0.7500 0.5000